# 1
Density functional theory data (GGA-PBE) for La2Nd8Sm3 after structural relaxation.

The structure in CIF format:
```
data_La2Nd8Sm3
_chemical_formula_sum 'La2 Nd8 Sm3'
_space_group_name_H-M_alt 'P 1'
_space_group_IT_number 1
_space_group_name_Hall 'P 1'
_cell_length_a 8.985
_cell_length_b 8.985
_cell_length_c 6.271
_cell_angle_alpha 107.22
_cell_angle_beta 107.22
_cell_angle_gamma 83.82
loop_
_atom_site_label
_atom_site_fract_x
_atom_site_fract_y
_atom_site_fract_z
_atom_site_occupancy
La1 0.210 0.210 0.349 1
La2 0.790 0.790 0.651 1
Nd1 0.058 0.058 0.781 1
Nd2 0.075 0.585 0.327 1
Nd3 0.347 0.347 0.949 1
Nd4 0.415 0.925 0.673 1
Nd5 0.585 0.075 0.327 1
Nd6 0.653 0.653 0.051 1
Nd7 0.925 0.415 0.673 1
Nd8 0.942 0.942 0.219 1
Sm1 0.256 0.744 0.000 1
Sm2 0.500 0.500 0.500 1
Sm3 0.744 0.256 0.000 1
```

Calculated values
Calculated density: 6.77 g cm⁻³
Energy of formation from the pure elements: 0.1520 eV/atom
Energy above the most stable polymorph in this dataset: 0.00 eV/f.u.

# 2
Density functional theory data (GGA-PBE) for Dy5Tm2Th2 after structural relaxation.

The structure in CIF format:
```
data_Dy5Tm2Th2
_chemical_formula_sum 'Dy5 Tm2 Th2'
_space_group_name_H-M_alt 'P 1'
_space_group_IT_number 1
_space_group_name_Hall 'P 1'
_cell_length_a 11.604
_cell_length_b 11.604
_cell_length_c 8.178
_cell_angle_alpha 102.48
_cell_angle_beta 102.48
_cell_angle_gamma 17.19
loop_
_atom_site_label
_atom_site_fract_x
_atom_site_fract_y
_atom_site_fract_z
_atom_site_occupancy
Dy1 0.000 0.000 0.000 1
Dy2 0.091 0.091 0.736 1
Dy3 0.305 0.305 0.439 1
Dy4 0.695 0.695 0.561 1
Dy5 0.909 0.909 0.264 1
Tm1 0.159 0.159 0.186 1
Tm2 0.841 0.841 0.814 1
Th1 0.448 0.448 0.638 1
Th2 0.552 0.552 0.362 1
```

Calculated values
Calculated density: 8.44 g cm⁻³
Energy of formation from the pure elements: 0.2990 eV/atom
Energy above the most stable polymorph in this dataset: 0.44 eV/f.u.

# 3
Density functional theory data (GGA-PBE) for Pa2Tc4Sb after structural relaxation.

The structure in CIF format:
```
data_Pa2Tc4Sb
_chemical_formula_sum 'Pa4 Tc8 Sb2'
_space_group_name_H-M_alt 'P 1'
_space_group_IT_number 1
_space_group_name_Hall 'P 1'
_cell_length_a 5.895
_cell_length_b 5.895
_cell_length_c 8.986
_cell_angle_alpha 90.00
_cell_angle_beta 90.00
_cell_angle_gamma 59.18
loop_
_atom_site_label
_atom_site_fract_x
_atom_site_fract_y
_atom_site_fract_z
_atom_site_occupancy
Pa1 0.151 0.151 0.000 1
Pa2 0.349 0.349 0.500 1
Pa3 0.651 0.651 0.500 1
Pa4 0.849 0.849 0.000 1
Tc1 0.194 0.306 0.750 1
Tc2 0.222 0.778 0.755 1
Tc3 0.278 0.722 0.255 1
Tc4 0.306 0.194 0.250 1
Tc5 0.694 0.806 0.750 1
Tc6 0.722 0.278 0.745 1
Tc7 0.778 0.222 0.245 1
Tc8 0.806 0.694 0.250 1
Sb1 0.000 0.000 0.500 1
Sb2 0.500 0.500 0.000 1
```

Calculated values
Calculated density: 12.09 g cm⁻³
Raw formation energy: -81 meV/atom

# 4
Density functional theory data (GGA-PBE) for Tb12Pm3Tl after structural relaxation.

The structure in CIF format:
```
data_Tb12Pm3Tl
_chemical_formula_sum 'Tb12 Pm3 Tl1'
_space_group_name_H-M_alt 'P 1'
_space_group_IT_number 1
_space_group_name_Hall 'P 1'
_cell_length_a 4.995
_cell_length_b 4.995
_cell_length_c 20.316
_cell_angle_alpha 90.00
_cell_angle_beta 90.00
_cell_angle_gamma 90.00
loop_
_atom_site_label
_atom_site_fract_x
_atom_site_fract_y
_atom_site_fract_z
_atom_site_occupancy
Tb1 0.000 0.000 0.000 1
Tb2 0.000 0.000 0.244 1
Tb3 0.000 0.000 0.500 1
Tb4 0.000 0.000 0.756 1
Tb5 0.000 0.500 0.121 1
Tb6 0.000 0.500 0.373 1
Tb7 0.000 0.500 0.627 1
Tb8 0.000 0.500 0.879 1
Tb9 0.500 0.000 0.121 1
Tb10 0.500 0.000 0.373 1
Tb11 0.500 0.000 0.627 1
Tb12 0.500 0.000 0.879 1
Pm1 0.500 0.500 0.248 1
Pm2 0.500 0.500 0.500 1
Pm3 0.500 0.500 0.752 1
Tl1 0.500 0.500 0.000 1
```

Calculated values
Calculated density: 8.34 g cm⁻³
Energy of formation from the pure elements: -0.0245 eV/atom

# 5
Density functional theory data (GGA-PBE) for SrAcP2O6 after structural relaxation.

The structure in CIF format:
```
data_SrAcP2O6
_chemical_formula_sum 'Sr1 Ac1 P2 O6'
_space_group_name_H-M_alt 'P 1'
_space_group_IT_number 1
_space_group_name_Hall 'P 1'
_cell_length_a 7.344
_cell_length_b 7.344
_cell_length_c 7.344
_cell_angle_alpha 43.08
_cell_angle_beta 43.08
_cell_angle_gamma 43.08
loop_
_atom_site_label
_atom_site_fract_x
_atom_site_fract_y
_atom_site_fract_z
_atom_site_occupancy
Sr1 0.000 0.000 0.000 1
Ac1 0.500 0.500 0.500 1
P1 0.270 0.270 0.270 1
P2 0.730 0.730 0.730 1
O1 0.019 0.785 0.471 1
O2 0.215 0.529 0.981 1
O3 0.471 0.019 0.785 1
O4 0.529 0.981 0.215 1
O5 0.785 0.471 0.019 1
O6 0.981 0.215 0.529 1
```

Calculated values
Calculated density: 4.68 g cm⁻³
Raw formation energy: -2526 meV/atom

# 6
Density functional theory data (GGA-PBE) for CdInPb5 after structural relaxation.

The structure in CIF format:
```
data_CdInPb5
_chemical_formula_sum 'Cd2 In2 Pb10'
_space_group_name_H-M_alt 'P 1'
_space_group_IT_number 1
_space_group_name_Hall 'P 1'
_cell_length_a 10.390
_cell_length_b 10.390
_cell_length_c 7.279
_cell_angle_alpha 90.01
_cell_angle_beta 90.01
_cell_angle_gamma 146.24
loop_
_atom_site_label
_atom_site_fract_x
_atom_site_fract_y
_atom_site_fract_z
_atom_site_occupancy
Cd1 0.085 0.915 0.750 1
Cd2 0.915 0.085 0.250 1
In1 0.330 0.670 0.750 1
In2 0.670 0.330 0.250 1
Pb1 0.202 0.796 0.027 1
Pb2 0.204 0.798 0.473 1
Pb3 0.247 0.313 0.600 1
Pb4 0.313 0.247 0.100 1
Pb5 0.364 0.636 0.250 1
Pb6 0.636 0.364 0.750 1
Pb7 0.687 0.753 0.900 1
Pb8 0.753 0.687 0.400 1
Pb9 0.796 0.202 0.527 1
Pb10 0.798 0.204 0.973 1
```

Calculated values
Calculated density: 9.61 g cm⁻³
Energy of formation from the pure elements: 0.0719 eV/atom
Energy above the most stable polymorph in this dataset: 0.00 eV/f.u.

# 7
Density functional theory data (GGA-PBE) for Ho6Ga2PbSe3 after structural relaxation.

The structure in CIF format:
```
data_Ho6Ga2PbSe3
_chemical_formula_sum 'Ho6 Ga2 Pb1 Se3'
_space_group_name_H-M_alt 'P 1'
_space_group_IT_number 1
_space_group_name_Hall 'P 1'
_cell_length_a 9.524
_cell_length_b 9.524
_cell_length_c 8.686
_cell_angle_alpha 108.88
_cell_angle_beta 108.88
_cell_angle_gamma 24.13
loop_
_atom_site_label
_atom_site_fract_x
_atom_site_fract_y
_atom_site_fract_z
_atom_site_occupancy
Ho1 0.001 0.001 0.269 1
Ho2 0.326 0.326 0.911 1
Ho3 0.334 0.334 0.411 1
Ho4 0.666 0.666 0.589 1
Ho5 0.674 0.674 0.089 1
Ho6 0.999 0.999 0.731 1
Ga1 0.169 0.169 0.340 1
Ga2 0.831 0.831 0.660 1
Pb1 0.500 0.500 0.000 1
Se1 0.164 0.164 0.834 1
Se2 0.500 0.500 0.500 1
Se3 0.836 0.836 0.166 1
```

Calculated values
Calculated density: 8.60 g cm⁻³
Raw formation energy: -1123 meV/atom

# 8
Density functional theory data (GGA-PBE) for MgAl2Rh after structural relaxation.

The structure in CIF format:
```
data_MgAl2Rh
_chemical_formula_sum 'Mg2 Al4 Rh2'
_space_group_name_H-M_alt 'P 1'
_space_group_IT_number 1
_space_group_name_Hall 'P 1'
_cell_length_a 5.986
_cell_length_b 5.986
_cell_length_c 5.986
_cell_angle_alpha 101.01
_cell_angle_beta 101.01
_cell_angle_gamma 128.17
loop_
_atom_site_label
_atom_site_fract_x
_atom_site_fract_y
_atom_site_fract_z
_atom_site_occupancy
Mg1 0.000 0.000 0.000 1
Mg2 0.750 0.250 0.500 1
Al1 0.195 0.625 0.070 1
Al2 0.375 0.445 0.570 1
Al3 0.555 0.125 0.930 1
Al4 0.875 0.805 0.430 1
Rh1 0.250 0.750 0.500 1
Rh2 0.500 0.500 0.000 1
```

Calculated values
Calculated density: 3.97 g cm⁻³
Energy of formation from the pure elements: -0.1454 eV/atom

# 9
Density functional theory data (GGA-PBE) for ThTaCo2 after structural relaxation.

The structure in CIF format:
```
data_ThTaCo2
_chemical_formula_sum 'Th1 Ta1 Co2'
_space_group_name_H-M_alt 'P 1'
_space_group_IT_number 1
_space_group_name_Hall 'P 1'
_cell_length_a 5.484
_cell_length_b 5.484
_cell_length_c 5.484
_cell_angle_alpha 44.57
_cell_angle_beta 44.57
_cell_angle_gamma 44.57
loop_
_atom_site_label
_atom_site_fract_x
_atom_site_fract_y
_atom_site_fract_z
_atom_site_occupancy
Th1 0.000 0.000 0.000 1
Ta1 0.500 0.500 0.500 1
Co1 0.211 0.211 0.211 1
Co2 0.789 0.789 0.789 1
```

Calculated values
Calculated density: 11.93 g cm⁻³
Energy of formation from the pure elements: -0.1884 eV/atom

no.,DOS(E_F) (states/eV per atom),V (Å³/atom)
1,1.68,35.52
2,1.60,35.30
3,0.67,19.15
4,1.30,31.68
5,0.45,16.75
6,0.50,31.19
7,0.39,25.33
8,0.36,18.96
9,0.82,18.47